First-principles (PBE) data for Tb2ErBr after structural relaxation, as listed in Alexandria via LeMat-Bulk.

a = 3.6379 Å, b = 3.6379 Å, c = 30.7476 Å
α = 90.00°, β = 90.00°, γ = 120.00°
Last column: nearest neighbours and their distance in Å.
Space group R-3m (No. 166, hexagonal axes)
Inequivalent atoms, fractional coordinates:
Tb  0.0000  0.0000  0.2429  3 Br 3.15, 3 Er 3.48
Er  0.0000  0.0000  0.0000  6 Tb 3.48, 6 Er 3.64
Br  0.0000  0.0000  0.5000  6 Tb 3.15

Computed properties:
Formation energy from raw total energies in eV per formula unit: -2.1
Crystal system: trigonal

---

First-principles (PBE) data for Tb2Ce3SmSb6 after structural relaxation, as listed in Alexandria via LeMat-Bulk.

a = 7.7304 Å, b = 13.3880 Å, c = 7.7308 Å
α = 90.00°, β = 109.47°, γ = 90.00°
Last column: nearest neighbours and their distance in Å.
Space group C2/m (No. 12)
Inequivalent atoms, fractional coordinates:
Tb  0.0000  0.1670  0.0000  6 Sb 3.13
Ce  0.0000  0.0000  0.5000  6 Sb 3.16-3.18
Ce  0.0000  0.3343  0.5000  6 Sb 3.16-3.18
Sm  0.0000  0.5000  0.0000  6 Sb 3.15-3.16
Sb  0.2459  0.0000  0.2456  2 Tb 3.13, 1 Sm 3.15, 3 Ce 3.16-3.17
Sb  0.2498  0.1679  0.7532  2 Tb 3.13, 1 Sm 3.16, 3 Ce 3.16-3.18

Computed properties:
Formation energy from raw total energies in eV per formula unit: -13.2
Crystal system: monoclinic

---

First-principles (PBE) data for Sn4Pd2Rh after structural relaxation, as listed in Alexandria via LeMat-Bulk.

a = 13.5787 Å, b = 3.5260 Å, c = 6.8020 Å
α = 90.00°, β = 116.07°, γ = 90.00°
Last column: nearest neighbours and their distance in Å.
Space group C2/m (No. 12)
Inequivalent atoms, fractional coordinates:
Sn  0.0913  0.0000  0.4400  1 Rh 2.69, 3 Pd 2.72, 1 Sn 2.93
Sn  0.1379  0.5000  0.9539  2 Rh 2.69, 3 Pd 2.76-2.82
Pd  0.2479  0.5000  0.6959  6 Sn 2.72-2.82
Rh  0.0000  0.0000  0.0000  6 Sn 2.69

Computed properties:
Crystal system: monoclinic
Formation energy from the elements in eV per atom: -0.42

---

First-principles (PBE) data for Mg4TeIr after structural relaxation, as listed in Alexandria via LeMat-Bulk.

a = 7.8475 Å, b = 7.8475 Å, c = 7.8475 Å
α = 90.00°, β = 90.00°, γ = 90.00°
Last column: nearest neighbours and their distance in Å.
Space group F-43m (No. 216)
Inequivalent atoms, fractional coordinates:
Mg  0.1239  0.1239  0.3761  6 Mg 2.75-2.80
Te  0.0000  0.0000  0.0000  12 Mg 3.26, 4 Ir 3.40
Ir  0.2500  0.2500  0.7500  12 Mg 3.25, 4 Te 3.40

Computed properties:
Formation energy from raw total energies in eV per formula unit: 1.3
Crystal system: cubic

---

First-principles (PBE) data for Ti2Ni2Pt7 after structural relaxation, as listed in Alexandria via LeMat-Bulk.

a = 7.3153 Å, b = 8.0990 Å, c = 6.0294 Å
α = 90.00°, β = 107.53°, γ = 90.00°
Last column: nearest neighbours and their distance in Å.
Space group C2/m (No. 12)
Inequivalent atoms, fractional coordinates:
Ti  0.2132  0.0000  0.4810  6 Pt 2.55-2.85, 2 Ni 2.61
Ni  0.0000  0.2541  0.5000  6 Pt 2.52-2.68, 2 Ti 2.61
Pt  0.0000  0.0000  0.0000  6 Pt 2.71-2.82, 2 Ti 2.85
Pt  0.0974  0.5000  0.8117  1 Ti 2.55, 2 Ni 2.68, 7 Pt 2.71-2.82
Pt  0.1833  0.2803  0.1903  2 Ni 2.52-2.61, 1 Ti 2.60, 5 Pt 2.71-2.81

Computed properties:
Crystal system: monoclinic
Formation energy from the elements in eV per atom: -0.37

---

First-principles (PBE) data for Nd5SmAu6 after structural relaxation, as listed in Alexandria via LeMat-Bulk.

a = 5.2688 Å, b = 7.3675 Å, c = 8.3117 Å
α = 90.00°, β = 107.98°, γ = 90.00°
Last column: nearest neighbours and their distance in Å.
Space group P2/m (No. 10)
Inequivalent atoms, fractional coordinates:
Nd  0.0000  0.0000  0.0000  8 Au 3.20-3.23
Nd  0.3326  0.0000  0.6657  8 Au 3.22-3.24
Nd  0.3333  0.5000  0.6669  8 Au 3.20-3.23
Sm  0.0000  0.5000  0.0000  8 Au 3.18-3.20
Au  0.1655  0.2516  0.3296  1 Sm 3.18, 7 Nd 3.20-3.24
Au  0.5000  0.2542  0.0000  6 Nd 3.20-3.24, 2 Sm 3.20

Computed properties:
Crystal system: monoclinic
Formation energy from the elements in eV per atom: -0.77